[1]
A relaxed Li4U3MnSe8 crystal, computed with PBE.

Calculated values
volume = 22.6 Å³/atom
density of states at the Fermi level = 11.82 states/eV/f.u.

Cell lengths 7.972, 8.012, 7.973 Å; angles 119.85, 120.00, 90.00 degrees
Site moments in Bohr magnetons follow the coordinates.
Element x y z (fractional)
Se (0.237, 0.249, 0.993)  -0.02
Se (0.245, 0.236, 0.491)  -0.06
Li (0.500, 0.000, 0.000)  0.01
Se (0.244, 0.752, 0.489)  -0.02
Se (0.756, 0.249, 0.993)  -0.02
U (0.500, 0.500, 0.000)  2.56
U (0.000, 0.500, 0.500)  2.56
U (0.500, 0.500, 0.500)  2.56
Li (0.000, 0.000, 0.000)  0.00
Li (0.500, 0.000, 0.500)  0.00
Se (0.755, 0.764, 0.509)  -0.06
Se (0.244, 0.751, 0.007)  -0.02
Se (0.756, 0.248, 0.511)  -0.02
Mn (0.000, 0.500, 0.000)  4.26
Se (0.763, 0.751, 0.007)  -0.02
Li (0.000, 0.000, 0.500)  0.00

=====

[2]
A relaxed LiUMnSe4 crystal, computed with PBE.

Calculated values
volume = 25.0 Å³/atom
density of states at the Fermi level = 5.92 states/eV/f.u.

Cell lengths 7.915, 7.804, 7.804 Å; angles 65.54, 59.53, 59.53 degrees
Site moments in Bohr magnetons follow the coordinates.
Element x y z (fractional)
Se (0.740, 0.221, 0.299)  -0.04
Li (0.347, 0.403, 0.903)  0.01
Se (0.260, 0.779, 0.701)  -0.04
Li (0.653, 0.597, 0.097)  0.01
Mn (0.000, 0.000, 0.500)  4.01
Se (0.771, 0.744, 0.244)  -0.06
Se (0.229, 0.256, 0.756)  -0.06
Se (0.759, 0.256, 0.756)  -0.06
U (0.000, 0.000, 0.000)  1.82
Se (0.740, 0.799, 0.721)  -0.04
Mn (0.500, 0.000, 0.500)  4.01
Se (0.260, 0.201, 0.279)  -0.04
U (0.000, 0.500, 0.500)  1.82
Se (0.241, 0.744, 0.244)  -0.06

=====

no.,E_tot (eV per cell),size of the total moment (μB per cell),formation energy from raw total energies (eV per atom)
1,-96.05,13.02,-1.093
2,-85.62,12.00,-0.928